Entry 1:
! Ba2SiBr PBEsol optimized geometry; values from VASP
&SYSTEM
  ibrav = 0, nat = 4, ntyp = 3
/
ATOMIC_SPECIES
Ba 137.33 Ba.upf
Br 79.90 Br.upf
Si 28.09 Si.upf
CELL_PARAMETERS angstrom
-1.475 3.453 2.656
0.230 -0.361 4.580
7.150 4.353 2.294
ATOMIC_POSITIONS crystal
Ba 0.756 0.756 0.734
Ba 0.244 0.244 0.266
Br 0.000 0.000 0.000
Si 0.500 0.500 0.500
! - Fermi-level density of states (states/eV per atom) = 0.795
! - formation energy from raw total energies (eV/atom) = -0.923
! - uncorrected energy (eV per cell) = -15.60

---

Entry 2:
! CdBrCl4 PBEsol optimized geometry; values from VASP
&SYSTEM
  ibrav = 0, nat = 6, ntyp = 3
/
ATOMIC_SPECIES
Cl 35.45 Cl.upf
Br 79.90 Br.upf
Cd 112.41 Cd.upf
CELL_PARAMETERS angstrom
5.668 0.000 0.000
2.834 4.909 0.000
2.834 1.636 4.628
ATOMIC_POSITIONS crystal
Cl 0.375 0.375 0.375
Cl 0.375 0.375 0.876
Cl 0.876 0.375 0.375
Cl 0.375 0.876 0.375
Br 0.750 0.750 0.750
Cd 0.000 0.000 0.000
! - Fermi-level density of states (states/eV per atom) = 0.636
! - formation energy from raw total energies (eV/atom) = 0.375
! - uncorrected energy (eV per cell) = -8.85

---

Entry 3:
! LaGa2SiPt PBEsol optimized geometry; values from VASP
&SYSTEM
  ibrav = 0, nat = 5, ntyp = 4
/
ATOMIC_SPECIES
Si 28.09 Si.upf
Ga 69.72 Ga.upf
Pt 195.08 Pt.upf
La 138.91 La.upf
CELL_PARAMETERS angstrom
-3.921 -1.703 -2.948
3.286 -0.193 -4.259
1.288 -5.081 1.223
ATOMIC_POSITIONS crystal
Si 0.500 0.000 0.000
Ga 0.000 0.000 0.500
Ga 0.000 0.500 0.000
Pt 0.500 0.500 0.500
La 0.000 0.000 0.000
! - Fermi-level density of states (states/eV per atom) = 0.795
! - formation energy from raw total energies (eV/atom) = 1.591
! - uncorrected energy (eV per cell) = -16.78

---

Entry 4:
! LiCoAsO4 PBEsol optimized geometry; values from VASP
&SYSTEM
  ibrav = 0, nat = 28, ntyp = 4
/
ATOMIC_SPECIES
Li 6.94 Li.upf
Co 58.93 Co.upf
As 74.92 As.upf
O 16.00 O.upf
CELL_PARAMETERS angstrom
4.872 0.000 0.000
0.000 5.904 0.000
0.000 0.000 10.333
ATOMIC_POSITIONS crystal
Li 0.500 0.000 0.000
Li 0.000 0.000 0.500
Li 0.500 0.500 0.000
Li 0.000 0.500 0.500
Co 0.005 0.250 0.227
Co 0.995 0.750 0.773
Co 0.495 0.250 0.727
Co 0.505 0.750 0.273
As 0.442 0.750 0.594
As 0.058 0.750 0.094
As 0.558 0.250 0.406
As 0.942 0.250 0.906
O 0.708 0.750 0.094
O 0.292 0.250 0.906
O 0.792 0.750 0.594
O 0.208 0.250 0.406
O 0.706 0.250 0.557
O 0.794 0.250 0.057
O 0.206 0.750 0.943
O 0.294 0.750 0.443
O 0.718 0.474 0.327
O 0.282 0.526 0.673
O 0.782 0.474 0.827
O 0.718 0.026 0.327
O 0.218 0.974 0.173
O 0.218 0.526 0.173
O 0.282 0.974 0.673
O 0.782 0.026 0.827
! - Fermi-level density of states (states/eV per atom) = 0.758
! - formation energy from raw total energies (eV/atom) = -1.285
! - uncorrected energy (eV per cell) = -179.20
! - excess energy over the best structure of this formula in the dataset (meV per atom) = 28

---

Entry 5:
! CdHgTe2 PBEsol optimized geometry; values from VASP
&SYSTEM
  ibrav = 0, nat = 4, ntyp = 3
/
ATOMIC_SPECIES
Te 127.60 Te.upf
Hg 200.59 Hg.upf
Cd 112.41 Cd.upf
CELL_PARAMETERS angstrom
-2.504 -4.434 0.079
4.493 0.338 -2.849
4.176 -2.327 1.757
ATOMIC_POSITIONS crystal
Te 0.250 0.500 0.250
Te 0.750 0.500 0.750
Hg 0.000 0.000 0.000
Cd 0.500 0.000 0.500
! - Fermi-level density of states (states/eV per atom) = 0.711
! - formation energy from raw total energies (eV/atom) = 0.134
! - uncorrected energy (eV per cell) = -8.28
! - excess energy over the best structure of this formula in the dataset (meV per atom) = 394

---

Entry 6:
! Zn3In2O6 PBEsol optimized geometry; values from VASP
&SYSTEM
  ibrav = 0, nat = 44, ntyp = 3
/
ATOMIC_SPECIES
Zn 65.41 Zn.upf
In 114.82 In.upf
O 16.00 O.upf
CELL_PARAMETERS angstrom
-4.152 4.036 0.591
-1.058 -0.119 -6.649
-10.643 -9.544 0.186
ATOMIC_POSITIONS crystal
Zn 0.068 0.104 0.598
Zn 0.126 0.197 0.216
Zn 0.071 0.604 0.593
Zn 0.130 0.698 0.212
Zn 0.370 0.556 0.778
Zn 0.431 0.661 0.387
Zn 0.633 0.946 0.210
Zn 0.369 0.045 0.790
Zn 0.564 0.347 0.597
Zn 0.632 0.449 0.212
Zn 0.871 0.806 0.784
Zn 0.933 0.893 0.392
In 0.000 0.998 0.003
In 0.003 0.503 0.999
In 0.573 0.846 0.594
In 0.502 0.749 0.998
In 0.432 0.142 0.406
In 0.495 0.251 0.001
In 0.870 0.304 0.780
In 0.931 0.410 0.411
O 0.054 0.058 0.745
O 0.080 0.135 0.419
O 0.151 0.234 0.076
O 0.041 0.571 0.748
O 0.112 0.660 0.432
O 0.156 0.729 0.074
O 0.348 0.517 0.922
O 0.545 0.817 0.749
O 0.395 0.586 0.604
O 0.605 0.874 0.432
O 0.458 0.690 0.247
O 0.653 0.983 0.073
O 0.343 0.019 0.928
O 0.531 0.302 0.747
O 0.400 0.114 0.566
O 0.579 0.411 0.426
O 0.460 0.185 0.254
O 0.656 0.481 0.074
O 0.846 0.267 0.928
O 0.902 0.356 0.576
O 0.956 0.440 0.256
O 0.847 0.771 0.925
O 0.920 0.856 0.587
O 0.956 0.936 0.250
! - formation energy from raw total energies (eV/atom) = -1.480
! - uncorrected energy (eV per cell) = -233.96
! - excess energy over the best structure of this formula in the dataset (meV per atom) = 0